{"formula": "MgTa2H8", "functional": "PBE", "state": "relaxed", "lattice_angstrom": [[4.370, -2.922, 0.000], [4.370, 2.922, 0.000], [-1.184, 0.000, 3.241]], "species": ["Mg", "Ta", "Ta", "H", "H", "H", "H", "H", "H", "H", "H"], "fractional_positions": [[0.000, 0.000, 0.000], [0.333, 0.333, 0.603], [0.667, 0.667, 0.397], [0.048, 0.678, 0.496], [0.224, 0.224, 0.021], [0.322, 0.952, 0.504], [0.441, 0.441, 0.200], [0.559, 0.559, 0.800], [0.678, 0.048, 0.496], [0.776, 0.776, 0.979], [0.952, 0.322, 0.504]], "spacegroup": "No. 12", "dft_energy_ev_per_atom": -4.76, "mass_density_g_cm3": 7.91}